[1]
A relaxed structure of NaDyEr2. Source: the Alexandria database, functional GGA-PBE.

POSCAR file:
```
NaDyEr2
1.0
3.474 0.000 0.000
-1.737 3.009 0.000
0.000 0.000 37.802
Na Dy Er
3 3 6
direct
0.000 0.000 0.000
0.333 0.667 0.667
0.667 0.333 0.333
0.000 0.000 0.500
0.333 0.667 0.167
0.667 0.333 0.833
0.000 0.000 0.092
0.000 0.000 0.908
0.333 0.667 0.574
0.333 0.667 0.759
0.667 0.333 0.241
0.667 0.333 0.426
```

The energy above the most stable polymorph in this dataset is 31.4 meV per atom.

[2]
A relaxed structure of Na3DyEr2O6. Source: the Alexandria database, functional GGA-PBE.

POSCAR file:
```
Na3DyEr2O6
1.0
2.946 -5.103 0.000
2.946 5.103 0.000
-1.964 0.000 5.575
Na Dy Er O
3 1 2 6
direct
0.000 0.000 0.000
0.332 0.668 0.000
0.668 0.332 0.000
0.500 0.500 0.500
0.167 0.833 0.500
0.833 0.167 0.500
0.094 0.430 0.290
0.234 0.234 0.710
0.430 0.094 0.290
0.570 0.906 0.710
0.766 0.766 0.290
0.906 0.570 0.710
```

The calculation puts the uncorrected formation energy at -2827.6 meV per atom.

[3]
A relaxed structure of Na3Dy2ErO6. Source: the Alexandria database, functional GGA-PBE.

POSCAR file:
```
Na3Dy2ErO6
1.0
2.958 -5.123 0.000
2.958 5.123 0.000
-1.973 0.000 5.580
Na Dy Er O
3 2 1 6
direct
0.000 0.000 0.000
0.334 0.666 0.000
0.666 0.334 0.000
0.167 0.833 0.500
0.833 0.167 0.500
0.500 0.500 0.500
0.099 0.430 0.289
0.239 0.239 0.710
0.430 0.099 0.289
0.570 0.901 0.711
0.761 0.761 0.290
0.901 0.570 0.711
```

The calculation puts the uncorrected formation energy at -2813.9 meV per atom.